[1]
# Tl2HgSb, optimized geometry, DFT PBE-GGA
data_Tl2HgSb
_cell_length_a 6.2808
_cell_length_b 6.2808
_cell_length_c 3.3202
_cell_angle_alpha 90.00
_cell_angle_beta 90.00
_cell_angle_gamma 116.10
_space_group_name_H-M_alt 'P 1'
_space_group_IT_number 1
loop_
_space_group_symop_operation_xyz
'x,y,z'
loop_
_atom_site_label
_atom_site_fract_x
_atom_site_fract_y
_atom_site_fract_z
Sb1 0.0000 0.5000 0.5000
Hg1 0.5000 0.0000 0.5000
Tl1 0.5000 0.5000 0.0000
Tl2 0.0000 0.0000 0.0000
# ΔE_f (raw) = 0.0384 eV per atom
# Uncorrected energy = -2.2507 eV per atom
# Size of the total moment = 0.00 μB/f.u.

=====

[2]
# KPrCdTe3, optimized geometry, DFT PBE-GGA
data_KPrCdTe3
_cell_length_a 4.6138
_cell_length_b 9.6665
_cell_length_c 10.8587
_cell_angle_alpha 106.31
_cell_angle_beta 90.00
_cell_angle_gamma 90.00
_space_group_name_H-M_alt 'P 1'
_space_group_IT_number 1
loop_
_space_group_symop_operation_xyz
'x,y,z'
loop_
_atom_site_label
_atom_site_fract_x
_atom_site_fract_y
_atom_site_fract_z
K1 0.7500 0.7890 0.7631
K2 0.2500 0.2110 0.2369
Te1 0.2500 0.0921 0.8691
Te2 0.7500 0.2271 0.5358
Te3 0.2500 0.5431 0.8372
Te4 0.7500 0.9079 0.1309
Te5 0.7500 0.4569 0.1628
Te6 0.2500 0.7729 0.4642
Pr1 0.2500 0.6762 0.1386
Pr2 0.7500 0.3238 0.8614
Cd1 0.7500 0.9149 0.3921
Cd2 0.2500 0.0851 0.6079
# ΔE_f (raw) = -1.0661 eV per atom
# Uncorrected energy = -3.7689 eV per atom
# Size of the total moment = 0.00 μB/f.u.

=====

[3]
# KTaAl, optimized geometry, DFT PBE-GGA
data_KTaAl
_cell_length_a 8.4349
_cell_length_b 8.4344
_cell_length_c 2.9164
_cell_angle_alpha 80.05
_cell_angle_beta 80.03
_cell_angle_gamma 19.91
_space_group_name_H-M_alt 'P 1'
_space_group_IT_number 1
loop_
_space_group_symop_operation_xyz
'x,y,z'
loop_
_atom_site_label
_atom_site_fract_x
_atom_site_fract_y
_atom_site_fract_z
K1 0.3392 0.3392 0.6608
Ta1 0.6399 0.6399 0.3601
Al1 0.0209 0.0209 0.9791
# ΔE_f = 596 meV/atom
# Uncorrected energy = -4.9683 eV per atom
# Size of the total moment = 0.88 μB/f.u.

=====

[4]
# Tl6Pd3Br14, optimized geometry, DFT PBE-GGA
data_Tl6Pd3Br14
_cell_length_a 7.5690
_cell_length_b 11.3569
_cell_length_c 11.3569
_cell_angle_alpha 120.00
_cell_angle_beta 90.00
_cell_angle_gamma 90.00
_space_group_name_H-M_alt 'P 1'
_space_group_IT_number 1
loop_
_space_group_symop_operation_xyz
'x,y,z'
loop_
_atom_site_label
_atom_site_fract_x
_atom_site_fract_y
_atom_site_fract_z
Tl1 0.2611 0.2735 0.2225
Tl2 0.8006 0.5230 0.5600
Tl3 0.2611 0.9490 0.7265
Tl4 0.8006 0.4400 0.9630
Tl5 0.2611 0.7775 0.0510
Tl6 0.8006 0.0370 0.4770
Br1 0.6234 0.4604 0.2555
Br2 0.4672 0.0000 0.0000
Br3 0.5303 0.5529 0.7943
Br4 0.9716 0.7893 0.8270
Br5 0.2346 0.8719 0.3974
Br6 0.9716 0.0376 0.2107
Br7 0.9716 0.1730 0.9624
Br8 0.2346 0.6026 0.4745
Br9 0.5303 0.2414 0.4471
Br10 0.2346 0.5255 0.1281
Br11 0.6234 0.7445 0.2049
Br12 0.6234 0.7951 0.5396
Br13 0.5303 0.2057 0.7586
Br14 0.0186 0.3333 0.6667
Pd1 0.8075 0.0000 0.0000
Pd2 0.3571 0.3333 0.6667
Pd3 0.4277 0.6667 0.3333
# ΔE_f (raw) = -0.4848 eV per atom
# Uncorrected energy = -2.7976 eV per atom
# Size of the total moment = 3.91 μB/f.u.

=====

[5]
# KSr2AsCl8, optimized geometry, DFT PBE-GGA
data_KSr2AsCl8
_cell_length_a 6.6322
_cell_length_b 6.4509
_cell_length_c 8.9314
_cell_angle_alpha 89.99
_cell_angle_beta 90.00
_cell_angle_gamma 89.84
_space_group_name_H-M_alt 'P 1'
_space_group_IT_number 1
loop_
_space_group_symop_operation_xyz
'x,y,z'
loop_
_atom_site_label
_atom_site_fract_x
_atom_site_fract_y
_atom_site_fract_z
Sr1 0.5000 0.5000 0.2471
Sr2 0.5000 0.5000 0.7529
K1 0.0000 0.0000 0.5000
Cl1 0.8452 0.2184 0.2026
Cl2 0.6896 0.7561 0.9999
Cl3 0.8453 0.2185 0.7973
Cl4 0.3591 0.2746 0.5000
Cl5 0.6409 0.7254 0.5000
Cl6 0.3104 0.2439 0.0001
Cl7 0.1548 0.7816 0.7974
Cl8 0.1547 0.7815 0.2027
As1 0.0000 0.0000 0.0000
# ΔE_f (raw) = -1.7380 eV per atom
# Uncorrected energy = -3.7283 eV per atom
# Size of the total moment = 0.00 μB/f.u.

=====

[6]
# Eu2YPa, optimized geometry, DFT PBE-GGA
data_Eu2YPa
_cell_length_a 3.4936
_cell_length_b 3.4936
_cell_length_c 12.1374
_cell_angle_alpha 81.73
_cell_angle_beta 81.73
_cell_angle_gamma 60.00
_space_group_name_H-M_alt 'P 1'
_space_group_IT_number 1
loop_
_space_group_symop_operation_xyz
'x,y,z'
loop_
_atom_site_label
_atom_site_fract_x
_atom_site_fract_y
_atom_site_fract_z
Eu1 0.2540 0.2540 0.2380
Eu2 0.7460 0.7460 0.7620
Y1 0.5000 0.5000 0.5000
Pa1 0.0000 0.0000 0.0000
# ΔE_f = 290 meV/atom
# Uncorrected energy = -8.8367 eV per atom
# Size of the total moment = 14.39 μB/f.u.

=====

[7]
# Er3O, optimized geometry, DFT PBE-GGA
data_Er3O
_cell_length_a 3.2551
_cell_length_b 3.2550
_cell_length_c 9.2956
_cell_angle_alpha 90.00
_cell_angle_beta 90.00
_cell_angle_gamma 90.00
_space_group_name_H-M_alt 'P 1'
_space_group_IT_number 1
loop_
_space_group_symop_operation_xyz
'x,y,z'
loop_
_atom_site_label
_atom_site_fract_x
_atom_site_fract_y
_atom_site_fract_z
O1 0.0000 0.0000 0.0832
Er1 0.5000 0.0000 0.7181
Er2 0.0000 0.5000 0.4487
Er3 0.5000 0.5000 0.0833
# ΔE_f (raw) = -1.1556 eV per atom
# Uncorrected energy = -5.8173 eV per atom
# Size of the total moment = 0.00 μB/f.u.

=====

[8]
# BRhF2, optimized geometry, DFT PBE-GGA
data_BRhF2
_cell_length_a 4.0043
_cell_length_b 4.0043
_cell_length_c 4.0043
_cell_angle_alpha 60.00
_cell_angle_beta 60.00
_cell_angle_gamma 60.00
_space_group_name_H-M_alt 'P 1'
_space_group_IT_number 1
loop_
_space_group_symop_operation_xyz
'x,y,z'
loop_
_atom_site_label
_atom_site_fract_x
_atom_site_fract_y
_atom_site_fract_z
F1 0.7500 0.7500 0.7500
F2 0.2500 0.2500 0.2500
B1 0.0000 0.0000 0.0000
Rh1 0.5000 0.5000 0.5000
# ΔE_f (raw) = 0.3769 eV per atom
# Uncorrected energy = -4.0660 eV per atom
# Size of the total moment = 2.00 μB/f.u.

=====

[9]
# Tb4ThIn2, optimized geometry, DFT PBE-GGA
data_Tb4ThIn2
_cell_length_a 4.8800
_cell_length_b 6.7390
_cell_length_c 6.7390
_cell_angle_alpha 100.30
_cell_angle_beta 90.00
_cell_angle_gamma 90.00
_space_group_name_H-M_alt 'P 1'
_space_group_IT_number 1
loop_
_space_group_symop_operation_xyz
'x,y,z'
loop_
_atom_site_label
_atom_site_fract_x
_atom_site_fract_y
_atom_site_fract_z
In1 0.0000 0.7237 0.2763
In2 0.0000 0.2763 0.7237
Tb1 0.5000 0.5000 0.0000
Tb2 0.0000 0.2078 0.2078
Tb3 0.5000 0.0000 0.5000
Tb4 0.0000 0.7922 0.7922
Th1 0.5000 0.5000 0.5000
# ΔE_f = -129 meV/atom
# Uncorrected energy = -4.6175 eV per atom
# Size of the total moment = 0.00 μB/f.u.

=====

[10]
# Ca2MoIr, optimized geometry, DFT PBE-GGA
data_Ca2MoIr
_cell_length_a 8.2086
_cell_length_b 8.2086
_cell_length_c 8.2086
_cell_angle_alpha 29.65
_cell_angle_beta 29.65
_cell_angle_gamma 29.65
_space_group_name_H-M_alt 'P 1'
_space_group_IT_number 1
loop_
_space_group_symop_operation_xyz
'x,y,z'
loop_
_atom_site_label
_atom_site_fract_x
_atom_site_fract_y
_atom_site_fract_z
Mo1 0.7850 0.7850 0.7850
Ca1 0.2144 0.2144 0.2144
Ca2 0.0340 0.0340 0.0340
Ir1 0.4666 0.4666 0.4666
# ΔE_f = 15 meV/atom
# Uncorrected energy = -5.9087 eV per atom
# Size of the total moment = 0.01 μB/f.u.

=====

[11]
# RbNaGa2As2, optimized geometry, DFT PBE-GGA
data_RbNaGa2As2
_cell_length_a 4.1441
_cell_length_b 4.1441
_cell_length_c 11.0279
_cell_angle_alpha 90.00
_cell_angle_beta 90.00
_cell_angle_gamma 120.00
_space_group_name_H-M_alt 'P 1'
_space_group_IT_number 1
loop_
_space_group_symop_operation_xyz
'x,y,z'
loop_
_atom_site_label
_atom_site_fract_x
_atom_site_fract_y
_atom_site_fract_z
As1 0.3333 0.6667 0.3158
As2 0.6667 0.3333 0.6842
Ga1 0.6667 0.3333 0.2385
Ga2 0.3333 0.6667 0.7615
Rb1 0.0000 0.0000 0.0000
Na1 0.0000 0.0000 0.5000
# ΔE_f = -254 meV/atom
# Uncorrected energy = -3.1942 eV per atom
# Size of the total moment = 0.00 μB/f.u.

=====

[12]
# Hf3Mn2Si4, optimized geometry, DFT PBE-GGA
data_Hf3Mn2Si4
_cell_length_a 4.0022
_cell_length_b 5.2550
_cell_length_c 7.5505
_cell_angle_alpha 108.08
_cell_angle_beta 90.00
_cell_angle_gamma 112.38
_space_group_name_H-M_alt 'P 1'
_space_group_IT_number 1
loop_
_space_group_symop_operation_xyz
'x,y,z'
loop_
_atom_site_label
_atom_site_fract_x
_atom_site_fract_y
_atom_site_fract_z
Mn1 0.6784 0.3568 0.3553
Mn2 0.3216 0.6432 0.6447
Si1 0.7167 0.4334 0.0748
Si2 0.9092 0.8184 0.5927
Si3 0.2833 0.5666 0.9252
Si4 0.0908 0.1816 0.4073
Hf1 0.3713 0.7426 0.3075
Hf2 0.6287 0.2574 0.6925
Hf3 0.0000 0.0000 0.0000
# ΔE_f (raw) = -0.6458 eV per atom
# Uncorrected energy = -8.4115 eV per atom
# Size of the total moment = 0.00 μB/f.u.